No. 1
An optimized crystal structure of ZrSiSb2I, computed with GGA-PBE.

Cell: 5.181 5.181 5.283 Å, 90.00 90.00 90.00°
Positions (direct):
Zr  0.000  0.000  0.000
Si  0.500  0.500  0.500
Sb  0.000  0.500  0.500
Sb  0.500  0.000  0.500
I  0.500  0.500  0.000

crystal system = tetragonal
offset from the most stable computed form = 38 meV/atom
symmetry = P4/mmm (123)
E_form (uncorrected) = 320 kJ/mol of formula units

No. 2
An optimized crystal structure of SrCa6Pr, computed with GGA-PBE.

Cell: 12.279 5.726 10.750 Å, 90.00 115.97 90.00°
Positions (direct):
Sr  0.000  0.000  0.000
Sr  0.500  0.500  0.000
Ca  0.005  0.500  0.742
Ca  0.248  0.500  0.616
Ca  0.249  0.000  0.865
Ca  0.251  0.500  0.135
Ca  0.252  0.000  0.384
Ca  0.495  0.000  0.258
Ca  0.505  0.000  0.742
Ca  0.748  0.000  0.616
Ca  0.749  0.500  0.865
Ca  0.751  0.000  0.135
Ca  0.752  0.500  0.384
Ca  0.995  0.500  0.258
Pr  0.000  0.000  0.500
Pr  0.500  0.500  0.500

crystal system = monoclinic
ΔH_f (0 K) = 59 meV per atom
offset from the most stable computed form = 3 meV/atom
symmetry = C2/m (12)

No. 3
An optimized crystal structure of YBeZnSn2, computed with GGA-PBE.

Cell: 5.883 5.883 5.177 Å, 90.00 90.00 90.00°
Positions (direct):
Y  0.000  0.000  0.000
Be  0.000  0.000  0.500
Zn  0.500  0.500  0.500
Sn  0.000  0.500  0.000
Sn  0.500  0.000  0.000

crystal system = tetragonal
ΔH_f (0 K) = 1061 meV per atom
symmetry = P4/mmm (123)

No. 4
An optimized crystal structure of HgAsPbO4, computed with GGA-PBE.

Cell: 6.940 6.940 7.480 Å, 100.19 100.19 57.86°
Positions (direct):
Hg  0.107  0.107  0.006
Hg  0.893  0.893  0.994
As  0.364  0.364  0.245
As  0.636  0.636  0.755
Pb  0.306  0.306  0.650
Pb  0.694  0.694  0.350
O  0.125  0.527  0.365
O  0.283  0.283  0.020
O  0.473  0.875  0.635
O  0.499  0.499  0.219
O  0.501  0.501  0.781
O  0.527  0.125  0.365
O  0.717  0.717  0.980
O  0.875  0.473  0.635

crystal system = monoclinic
symmetry = C2/m (12)
E_form (uncorrected) = -696 kJ/mol of formula units

No. 5
An optimized crystal structure of ZnSiTe2, computed with GGA-PBE.

Cell: 7.151 7.151 7.151 Å, 90.00 90.00 90.00°
Positions (direct):
Zn  0.000  0.000  0.000
Zn  0.000  0.500  0.500
Zn  0.500  0.000  0.500
Zn  0.500  0.500  0.000
Si  0.000  0.000  0.500
Si  0.000  0.500  0.000
Si  0.500  0.000  0.000
Si  0.500  0.500  0.500
Te  0.250  0.250  0.250
Te  0.250  0.250  0.750
Te  0.250  0.750  0.250
Te  0.250  0.750  0.750
Te  0.750  0.250  0.250
Te  0.750  0.250  0.750
Te  0.750  0.750  0.250
Te  0.750  0.750  0.750

crystal system = cubic
offset from the most stable computed form = 375 meV/atom
symmetry = Fm-3m (225)
E_form (uncorrected) = 143 kJ/mol of formula units

No. 6
An optimized crystal structure of Ce6Ru2PtBr3, computed with GGA-PBE.

Cell: 7.066 7.066 8.032 Å, 98.43 98.43 120.00°
Positions (direct):
Ce  0.089  0.434  0.801
Ce  0.222  0.222  0.198
Ce  0.434  0.089  0.801
Ce  0.566  0.911  0.199
Ce  0.778  0.778  0.802
Ce  0.911  0.566  0.199
Ru  0.167  0.833  0.000
Ru  0.833  0.167  0.000
Pt  0.500  0.500  0.000
Br  0.000  0.000  0.500
Br  0.333  0.667  0.500
Br  0.667  0.333  0.500

crystal system = monoclinic
symmetry = C2/m (12)
E_form (uncorrected) = -1074 kJ/mol of formula units

No. 7
An optimized crystal structure of RbCoGe2, computed with GGA-PBE.

Cell: 6.834 6.834 6.834 Å, 90.00 90.00 90.00°
Positions (direct):
Rb  0.000  0.000  0.000
Rb  0.000  0.500  0.500
Rb  0.500  0.000  0.500
Rb  0.500  0.500  0.000
Co  0.000  0.000  0.500
Co  0.000  0.500  0.000
Co  0.500  0.000  0.000
Co  0.500  0.500  0.500
Ge  0.250  0.250  0.250
Ge  0.250  0.250  0.750
Ge  0.250  0.750  0.250
Ge  0.250  0.750  0.750
Ge  0.750  0.250  0.250
Ge  0.750  0.250  0.750
Ge  0.750  0.750  0.250
Ge  0.750  0.750  0.750

crystal system = cubic
ΔH_f (0 K) = 847 meV per atom
offset from the most stable computed form = 902 meV/atom
symmetry = Fm-3m (225)

No. 8
An optimized crystal structure of LiAlAg2Br, computed with GGA-PBE.

Cell: 4.829 4.829 6.375 Å, 90.00 90.00 90.00°
Positions (direct):
Li  0.000  0.000  0.000
Al  0.000  0.000  0.500
Ag  0.000  0.500  0.500
Ag  0.500  0.000  0.500
Br  0.500  0.500  0.000

crystal system = tetragonal
symmetry = P4/mmm (123)
E_form (uncorrected) = 102 kJ/mol of formula units

No. 9
An optimized crystal structure of Ag3AsS3, computed with GGA-PBE.

Cell: 9.927 9.927 6.171 Å, 90.90 90.90 147.68°
Positions (direct):
Ag  0.059  0.941  0.500
Ag  0.512  0.853  0.198
Ag  0.577  0.954  0.721
Ag  0.853  0.512  0.698
Ag  0.941  0.059  0.000
Ag  0.954  0.577  0.221
As  0.392  0.507  0.233
As  0.507  0.392  0.733
S  0.030  0.305  0.716
S  0.152  0.596  0.848
S  0.305  0.030  0.216
S  0.596  0.152  0.348
S  0.632  0.690  0.552
S  0.690  0.632  0.052

crystal system = monoclinic
offset from the most stable computed form = 169 meV/atom
symmetry = Cc (9)
E_form (uncorrected) = 49 kJ/mol of formula units

No. 10
An optimized crystal structure of ScSn2Pt, computed with GGA-PBE.

Cell: 6.916 6.916 6.916 Å, 90.00 90.00 90.00°
Positions (direct):
Sc  0.000  0.000  0.000
Sc  0.000  0.500  0.500
Sc  0.500  0.000  0.500
Sc  0.500  0.500  0.000
Sn  0.250  0.250  0.250
Sn  0.250  0.250  0.750
Sn  0.250  0.750  0.250
Sn  0.250  0.750  0.750
Sn  0.750  0.250  0.250
Sn  0.750  0.250  0.750
Sn  0.750  0.750  0.250
Sn  0.750  0.750  0.750
Pt  0.000  0.000  0.500
Pt  0.000  0.500  0.000
Pt  0.500  0.000  0.000
Pt  0.500  0.500  0.500

crystal system = cubic
ΔH_f (0 K) = -359 meV per atom
symmetry = Fm-3m (225)

No. 11
An optimized crystal structure of Rb4ThO4, computed with GGA-PBE.

Cell: 7.016 7.016 9.808 Å, 119.56 119.56 31.66°
Positions (direct):
Rb  0.115  0.115  0.390
Rb  0.291  0.291  0.183
Rb  0.709  0.709  0.817
Rb  0.885  0.885  0.610
Th  0.500  0.500  0.000
O  0.069  0.069  0.919
O  0.333  0.333  0.755
O  0.667  0.667  0.245
O  0.931  0.931  0.081

crystal system = monoclinic
symmetry = C2/m (12)
E_form (uncorrected) = -1722 kJ/mol of formula units

No. 12
An optimized crystal structure of YCuBr2, computed with GGA-PBE.

Cell: 4.683 4.683 8.202 Å, 90.00 90.00 90.00°
Positions (direct):
Y  0.000  0.000  0.000
Y  0.500  0.500  0.500
Cu  0.000  0.000  0.500
Cu  0.500  0.500  0.000
Br  0.000  0.500  0.250
Br  0.000  0.500  0.750
Br  0.500  0.000  0.250
Br  0.500  0.000  0.750

crystal system = tetragonal
offset from the most stable computed form = 319 meV/atom
symmetry = I4/mmm (139)
E_form (uncorrected) = -230 kJ/mol of formula units